Density functional theory data (GGA-PBE) for an optimized crystal structure of DyPuFeTc.

a = 4.7686 Å, b = 4.7686 Å, c = 4.7686 Å
α = 60.00°, β = 60.00°, γ = 60.00°
Closest atoms and distances in Å follow each position.
Positions (direct):
Dy (0.5000, 0.5000, 0.5000)  4 Tc 2.92, 4 Fe 2.92
Pu (0.0000, 0.0000, 0.0000)  4 Fe 2.92, 4 Tc 2.92
Tc (0.2500, 0.2500, 0.2500)  4 Dy 2.92, 4 Pu 2.92
Fe (0.7500, 0.7500, 0.7500)  4 Dy 2.92, 4 Pu 2.92

## Properties
Total energy, eV per cell: -37.46
Size of the total moment, μB/f.u.: 2.5
Crystal system: cubic
Energy of formation from the pure elements, eV per atom: 0.0745